A.
Computed, not measured: a relaxed La6Al2Ga crystal at the PBE-GGA level of DFT. Values from VASP.

total magnetization	0.00	μB per atom
Fermi-level density of states	1.47	states/eV per atom

Structure (Quantum ESPRESSO input):
```
&SYSTEM
  ibrav = 0, nat = 18, ntyp = 3
/
ATOMIC_SPECIES
La 138.91 La.upf
Al 26.98 Al.upf
Ga 69.72 Ga.upf
ATOMIC_POSITIONS crystal
La 0.282 0.282 0.332
La 0.718 0.718 0.332
La 0.218 0.782 0.832
La 0.782 0.218 0.832
La 0.218 0.782 0.168
La 0.782 0.218 0.168
La 0.282 0.282 0.668
La 0.718 0.718 0.668
La 0.271 0.271 0.000
La 0.729 0.729 0.000
La 0.229 0.771 0.500
La 0.771 0.229 0.500
Al 0.000 0.000 0.351
Al 0.500 0.500 0.851
Al 0.500 0.500 0.149
Al 0.000 0.000 0.649
Ga 0.000 0.000 0.000
Ga 0.500 0.500 0.500
CELL_PARAMETERS angstrom
7.806 0.000 0.000
0.000 7.806 0.000
0.000 0.000 11.114
```

B.
Computed, not measured: a relaxed La6Al2Ga crystal at the PBE-GGA level of DFT. Values from VASP.

total magnetization	0.00	μB per atom
Fermi-level density of states	1.42	states/eV per atom

Structure (Quantum ESPRESSO input):
```
&SYSTEM
  ibrav = 0, nat = 18, ntyp = 3
/
ATOMIC_SPECIES
La 138.91 La.upf
Al 26.98 Al.upf
Ga 69.72 Ga.upf
ATOMIC_POSITIONS crystal
La 0.561 0.736 0.825
La 0.439 0.264 0.175
La 0.089 0.264 0.825
La 0.911 0.736 0.175
La 0.804 0.745 0.548
La 0.196 0.255 0.452
La 0.196 0.745 0.941
La 0.804 0.255 0.059
La 0.718 0.390 0.671
La 0.282 0.610 0.329
La 0.282 0.953 0.671
La 0.718 0.047 0.329
Al 0.500 0.377 0.877
Al 0.500 0.623 0.123
Al 0.637 0.000 0.637
Al 0.363 0.000 0.363
Ga 0.000 0.500 0.500
Ga 0.000 0.000 0.000
CELL_PARAMETERS angstrom
-8.954 1.325 -0.097
1.994 -8.337 -2.908
3.268 0.757 8.407
```

The winner here is B, beating the second structure by 280 meV/atom.